Below is CuNi4Mo after structural relaxation, with properties calculated at the PBE level.

Geometry as CIF:
```
data_CuNi4Mo
_chemical_formula_sum 'Cu1 Ni4 Mo1'
_space_group_name_H-M_alt 'P 1'
_space_group_IT_number 1
_cell_length_a 4.6565
_cell_length_b 4.6565
_cell_length_c 4.6565
_cell_angle_alpha 60.00
_cell_angle_beta 60.00
_cell_angle_gamma 60.00
loop_
_space_group_symop_operation_xyz
'x,y,z'
loop_
_atom_site_label
_atom_site_fract_x
_atom_site_fract_y
_atom_site_fract_z
Ni1 0.8746 0.3751 0.3751
Ni2 0.3751 0.8746 0.3751
Ni3 0.3751 0.3751 0.3751
Ni4 0.3751 0.3751 0.8746
Cu1 0.7500 0.7500 0.7500
Mo1 0.0000 0.0000 0.0000
```

Properties
crystal system: cubic
total magnetic moment: 0.0 Bohr magnetons per cell
electronic total energy: -37.7 eV for the cell shown
energy relative to the lowest polymorph listed for this composition: 0 meV per atom
ΔE_f: 0.355 eV per formula unit
space-group type: F-43m